Entry A
{
  "formula": "Sc2Ge2Cl",
  "functional": "PBE",
  "state": "relaxed",
  "lattice": [[7.242, 0.000, 0.000], [0.000, 7.242, 0.000], [0.000, 0.000, 3.838]],
  "species": ["Sc", "Sc", "Sc", "Sc", "Ge", "Ge", "Ge", "Ge", "Cl", "Cl"],
  "frac_coords": [[0.321, 0.821, 0.000], [0.821, 0.679, 0.000], [0.679, 0.179, 0.000], [0.179, 0.321, 0.000], [0.118, 0.618, 0.500], [0.618, 0.882, 0.500], [0.882, 0.382, 0.500], [0.382, 0.118, 0.500], [0.000, 0.000, 0.000], [0.500, 0.500, 0.000]],
  "space_group": "P4/mbm, No. 127",
  "crystal_system": "tetragonal"
}



Entry B
{
  "formula": "Sc2Ge2Cl",
  "functional": "PBE",
  "state": "relaxed",
  "lattice": [[-4.595, -5.606, 3.221], [4.887, -5.599, -2.773], [1.757, 0.157, 2.779]],
  "species": ["Sc", "Sc", "Sc", "Sc", "Ge", "Ge", "Ge", "Ge", "Cl", "Cl"],
  "frac_coords": [[0.191, 0.691, 0.500], [0.691, 0.809, 0.500], [0.809, 0.309, 0.500], [0.309, 0.191, 0.500], [0.392, 0.892, 0.000], [0.892, 0.608, 0.000], [0.608, 0.108, 0.000], [0.108, 0.392, 0.000], [0.000, 0.000, 0.000], [0.500, 0.500, 0.000]],
  "space_group": "P4/mbm, No. 127",
  "crystal_system": "tetragonal"
}



Least stable of them? entry B.



Entry A
{
  "formula": "GeSeCl2",
  "functional": "PBE",
  "state": "relaxed",
  "lattice": [[-2.655, -3.216, 8.697], [-1.920, -8.660, -3.788], [0.132, -6.677, 2.920]],
  "species": ["Ge", "Ge", "Se", "Se", "Cl", "Cl", "Cl", "Cl"],
  "frac_coords": [[0.500, 0.500, 0.000], [0.250, 0.750, 0.500], [0.000, 0.000, 0.000], [0.750, 0.250, 0.500], [0.457, 0.125, 0.250], [0.293, 0.625, 0.250], [0.375, 0.543, 0.750], [0.875, 0.707, 0.750]],
  "space_group": "I-42d, No. 122",
  "crystal_system": "tetragonal"
}



Entry B
{
  "formula": "GeSeCl2",
  "functional": "PBE",
  "state": "relaxed",
  "lattice": [[2.398, -2.887, 3.320], [0.577, 1.565, 4.725], [-2.553, -2.212, 3.701]],
  "species": ["Ge", "Se", "Cl", "Cl"],
  "frac_coords": [[0.000, 0.000, 0.000], [0.500, 0.500, 0.500], [0.250, 0.250, 0.250], [0.750, 0.750, 0.750]],
  "space_group": "Fm-3m, No. 225",
  "crystal_system": "cubic"
}



Least stable of them? entry B.



Entry A
{
  "formula": "GeSeCl",
  "functional": "PBE",
  "state": "relaxed",
  "lattice": [[-4.948, 4.234, -1.390], [-0.549, -1.707, -3.244], [-1.820, -1.135, 3.023]],
  "species": ["Ge", "Se", "Cl"],
  "frac_coords": [[0.985, 0.000, 0.000], [0.774, 0.667, 0.333], [0.241, 0.333, 0.667]],
  "space_group": "P3m1, No. 156",
  "crystal_system": "trigonal"
}



Entry B
{
  "formula": "GeSeCl",
  "functional": "PBE",
  "state": "relaxed",
  "lattice": [[4.821, -0.994, 0.000], [-2.980, 3.918, 0.000], [-0.921, -1.462, 7.027]],
  "species": ["Ge", "Cl", "Se"],
  "frac_coords": [[0.007, 0.007, 0.013], [0.366, 0.366, 0.732], [0.627, 0.627, 0.255]],
  "space_group": "Fmm2, No. 42",
  "crystal_system": "orthorhombic"
}



Least stable of them? entry B.